# 1
Material: Mg3In13
Method: DFT, PBE-GGA
State: optimized geometry

Cell lengths 9.1817, 6.7145, 6.7145 Å; angles 86.34, 90.00, 90.00 degrees
Positions (direct):
Mg: 0.0000 0.0000 0.0000
Mg: 0.2534 0.2569 0.2569
Mg: 0.7466 0.2569 0.2569
In: 0.0000 0.0116 0.4856
In: 0.0000 0.4856 0.0116
In: 0.0000 0.4967 0.4967
In: 0.2462 0.2482 0.7606
In: 0.2462 0.7545 0.7545
In: 0.2462 0.7606 0.2482
In: 0.5000 0.0103 0.5059
In: 0.5000 0.0182 0.0182
In: 0.5000 0.5045 0.5045
In: 0.5000 0.5059 0.0103
In: 0.7538 0.2482 0.7606
In: 0.7538 0.7545 0.7545
In: 0.7538 0.7606 0.2482

## Properties
Space group ... No. 38
Energy of formation ... -0.01 eV/atom
M_tot ... 0.0 μB/cell

---

# 2
Material: Tb23Cd4Rh7
Method: DFT, PBE-GGA
State: optimized geometry

Cell lengths 9.7192, 9.7192, 21.9324 Å; angles 90.00, 90.00, 120.00 degrees
Positions (direct):
Tb: 0.0000 0.0000 0.0478
Tb: 0.0000 0.0000 0.5478
Tb: 0.0801 0.5401 0.1378
Tb: 0.0838 0.5419 0.4106
Tb: 0.1269 0.2538 0.6901
Tb: 0.1269 0.8731 0.6901
Tb: 0.2006 0.4013 0.8362
Tb: 0.2006 0.7994 0.8362
Tb: 0.2083 0.4165 0.0000
Tb: 0.2083 0.7917 0.0000
Tb: 0.2086 0.4172 0.2751
Tb: 0.2086 0.7914 0.2751
Tb: 0.2103 0.4206 0.5442
Tb: 0.2103 0.7897 0.5442
Tb: 0.2538 0.1269 0.1901
Tb: 0.3333 0.6667 0.6962
Tb: 0.4013 0.2006 0.3362
Tb: 0.4165 0.2083 0.5000
Tb: 0.4172 0.2086 0.7751
Tb: 0.4206 0.2103 0.0442
Tb: 0.4581 0.5419 0.4106
Tb: 0.4581 0.9162 0.4106
Tb: 0.4599 0.5401 0.1378
Tb: 0.4599 0.9199 0.1378
Tb: 0.5401 0.0801 0.6378
Tb: 0.5401 0.4599 0.6378
Tb: 0.5419 0.0838 0.9106
Tb: 0.5419 0.4581 0.9106
Tb: 0.5794 0.7897 0.5442
Tb: 0.5828 0.7914 0.2751
Tb: 0.5835 0.7917 0.0000
Tb: 0.5987 0.7994 0.8362
Tb: 0.6667 0.3333 0.1962
Tb: 0.7462 0.8731 0.6901
Tb: 0.7897 0.2103 0.0442
Tb: 0.7897 0.5794 0.0442
Tb: 0.7914 0.2086 0.7751
Tb: 0.7914 0.5828 0.7751
Tb: 0.7917 0.2083 0.5000
Tb: 0.7917 0.5835 0.5000
Tb: 0.7994 0.2006 0.3362
Tb: 0.7994 0.5987 0.3362
Tb: 0.8731 0.1269 0.1901
Tb: 0.8731 0.7462 0.1901
Tb: 0.9162 0.4581 0.9106
Tb: 0.9199 0.4599 0.6378
Cd: 0.0000 0.0000 0.3032
Cd: 0.0000 0.0000 0.8032
Cd: 0.1087 0.2174 0.4170
Cd: 0.1087 0.8913 0.4170
Cd: 0.2174 0.1087 0.9170
Cd: 0.7826 0.8913 0.4170
Cd: 0.8913 0.1087 0.9170
Cd: 0.8913 0.7826 0.9170
Rh: 0.0444 0.5222 0.7627
Rh: 0.1423 0.2845 0.1164
Rh: 0.1423 0.8577 0.1164
Rh: 0.2845 0.1423 0.6164
Rh: 0.3333 0.6667 0.9148
Rh: 0.4778 0.5222 0.7627
Rh: 0.4778 0.9556 0.7627
Rh: 0.5222 0.0444 0.2627
Rh: 0.5222 0.4778 0.2627
Rh: 0.6667 0.3333 0.4148
Rh: 0.7155 0.8577 0.1164
Rh: 0.8577 0.1423 0.6164
Rh: 0.8577 0.7155 0.6164
Rh: 0.9556 0.4778 0.2627

## Properties
Space group ... No. 186
Energy of formation ... -0.52 eV/atom
M_tot ... 0.0 μB/cell

---

# 3
Material: PmMnSbAu
Method: DFT, PBE-GGA
State: optimized geometry

Cell lengths 5.0542, 5.0542, 5.0542 Å; angles 60.00, 60.00, 60.00 degrees
Positions (direct):
Pm: 0.0000 0.0000 0.0000
Mn: 0.5000 0.5000 0.5000
Sb: 0.7500 0.7500 0.7500
Au: 0.2500 0.2500 0.2500

## Properties
E_form (uncorrected) ... -0.30 eV/atom
Space group ... No. 216
M_tot ... 3.9 μB/cell

---

# 4
Material: Li2Mg3Sn3Rh
Method: DFT, PBE-GGA
State: optimized geometry

Cell lengths 7.9419, 7.9419, 3.2674 Å; angles 90.00, 90.00, 120.00 degrees
Positions (direct):
Li: 0.3333 0.6667 0.0000
Li: 0.6667 0.3333 0.0000
Mg: 0.0000 0.7321 0.0000
Mg: 0.2679 0.2679 0.0000
Mg: 0.7321 0.0000 0.0000
Sn: 0.0000 0.3701 0.5000
Sn: 0.3701 0.0000 0.5000
Sn: 0.6299 0.6299 0.5000
Rh: 0.0000 0.0000 0.5000

## Properties
Space group ... No. 189
Energy of formation ... -0.32 eV/atom
M_tot ... 0.0 μB/cell

---

no.,V (Å³ per atom),raw total energy (eV per atom),mass density (g cm⁻³)
1,25.82,-2.53,6.3
2,26.39,-5.27,8.9
3,22.82,-5.63,9.4
4,19.83,-3.42,5.1